[1]
The following is a PBE-GGA calculation of a relaxed CoCu2Sn2 crystal, from Alexandria.

POSCAR file:
```
CoCu2Sn2
1.0
6.839 0.000 0.000
0.000 6.839 0.000
0.000 0.000 3.775
Co Cu Sn
2 4 4
direct
0.000 0.000 0.000
0.500 0.500 0.000
0.131 0.369 0.500
0.369 0.869 0.500
0.631 0.131 0.500
0.869 0.631 0.500
0.167 0.667 0.000
0.333 0.167 0.000
0.667 0.833 0.000
0.833 0.333 0.000
```

**Space group**: P4/mbm, No. 127
**Calculated volume**: 176.5 Å³ per cell
**Total energy**: -4.355 eV/atom
**Formation energy from the elements**: 0.3056 eV/atom



[2]
The following is a PBE-GGA calculation of a relaxed NaSr2P crystal, from Alexandria.

POSCAR file:
```
NaSr2P
1.0
2.193 1.266 11.110
-2.193 1.266 11.110
0.000 -2.532 11.110
Na Sr P
1 2 1
direct
0.000 0.000 0.000
0.119 0.119 0.119
0.881 0.881 0.881
0.500 0.500 0.500
```

**Space group**: R-3m, No. 166
**Calculated volume**: 185.0 Å³ per cell
**Total energy**: -3.087 eV/atom
**Formation energy from the elements**: -0.5642 eV/atom



[3]
The following is a PBE-GGA calculation of a relaxed KNaP3 crystal, from Alexandria.

POSCAR file:
```
KNaP3
1.0
5.048 0.000 0.000
0.000 5.048 0.000
0.000 0.000 5.048
K Na P
1 1 3
direct
0.000 0.000 0.000
0.500 0.500 0.500
0.000 0.500 0.500
0.500 0.000 0.500
0.500 0.500 0.000
```

**Space group**: Pm-3m, No. 221
**Calculated volume**: 128.6 Å³ per cell
**Polymorph energy (0 for the lowest one)**: 0.0 meV/atom
**Total energy**: -2.813 eV/atom
**Formation energy from the elements**: 0.9163 eV/atom



[4]
The following is a PBE-GGA calculation of a relaxed Hf3Co crystal, from Alexandria.

POSCAR file:
```
Hf3Co
1.0
3.076 0.000 0.000
0.000 3.164 0.000
0.000 0.000 8.417
Hf Co
3 1
direct
0.000 0.000 0.000
0.000 0.500 0.345
0.500 0.500 0.743
0.500 0.000 0.497
```

**Space group**: Pmm2, No. 25
**Calculated volume**: 81.9 Å³ per cell
**Total energy**: -9.151 eV/atom
**Formation energy from the elements**: 0.0905 eV/atom



[5]
The following is a PBE-GGA calculation of a relaxed Rb4B2S4O17 crystal, from Alexandria.

POSCAR file:
```
Rb4B2S4O17
1.0
8.320 0.000 0.000
0.000 10.819 0.000
0.000 0.000 20.644
Rb B S O
16 8 16 68
direct
0.007 0.125 0.092
0.007 0.375 0.408
0.163 0.250 0.750
0.250 0.000 0.537
0.250 0.500 0.963
0.337 0.750 0.750
0.493 0.625 0.408
0.493 0.875 0.092
0.507 0.125 0.908
0.507 0.375 0.592
0.663 0.250 0.250
0.750 0.000 0.463
0.750 0.500 0.037
0.837 0.750 0.250
0.993 0.625 0.592
0.993 0.875 0.908
0.199 0.602 0.148
0.199 0.898 0.352
0.301 0.102 0.352
0.301 0.398 0.148
0.699 0.602 0.852
0.699 0.898 0.648
0.801 0.102 0.648
0.801 0.398 0.852
0.012 0.066 0.297
0.012 0.434 0.203
0.044 0.726 0.429
0.044 0.774 0.071
0.456 0.226 0.071
0.456 0.274 0.429
0.488 0.566 0.203
0.488 0.934 0.297
0.512 0.066 0.703
0.512 0.434 0.797
0.544 0.726 0.571
0.544 0.774 0.929
0.956 0.226 0.929
0.956 0.274 0.571
0.988 0.566 0.797
0.988 0.934 0.703
0.009 0.679 0.022
0.009 0.821 0.478
0.042 0.571 0.183
0.042 0.929 0.317
0.052 0.567 0.732
0.052 0.933 0.768
0.089 0.625 0.846
0.089 0.875 0.654
0.092 0.197 0.887
0.092 0.303 0.613
0.120 0.615 0.457
0.120 0.885 0.043
0.180 0.126 0.296
0.180 0.374 0.204
0.186 0.721 0.116
0.186 0.779 0.384
0.250 0.000 0.390
0.250 0.500 0.110
0.314 0.221 0.384
0.314 0.279 0.116
0.320 0.626 0.204
0.320 0.874 0.296
0.380 0.115 0.043
0.380 0.385 0.457
0.408 0.697 0.613
0.408 0.803 0.887
0.411 0.125 0.654
0.411 0.375 0.846
0.448 0.067 0.768
0.448 0.433 0.732
0.458 0.071 0.317
0.458 0.429 0.183
0.491 0.179 0.478
0.491 0.321 0.022
0.509 0.679 0.978
0.509 0.821 0.522
0.542 0.571 0.817
0.542 0.929 0.683
0.552 0.567 0.268
0.552 0.933 0.232
0.589 0.625 0.154
0.589 0.875 0.346
0.592 0.197 0.113
0.592 0.303 0.387
0.620 0.615 0.543
0.620 0.885 0.957
0.680 0.126 0.704
0.680 0.374 0.796
0.686 0.721 0.884
0.686 0.779 0.616
0.750 0.000 0.610
0.750 0.500 0.890
0.814 0.221 0.616
0.814 0.279 0.884
0.820 0.626 0.796
0.820 0.874 0.704
0.880 0.115 0.957
0.880 0.385 0.543
0.908 0.697 0.387
0.908 0.803 0.113
0.911 0.125 0.346
0.911 0.375 0.154
0.948 0.067 0.232
0.948 0.433 0.268
0.958 0.071 0.683
0.958 0.429 0.817
0.991 0.179 0.522
0.991 0.321 0.978
```

**Raw formation energy**: -1.814 eV/atom
**Space group**: Pnna, No. 52
**Calculated volume**: 1858.2 Å³ per cell
**Total energy**: -6.185 eV/atom



[6]
The following is a PBE-GGA calculation of a relaxed BaCaAg2 crystal, from Alexandria.

POSCAR file:
```
BaCaAg2
1.0
0.000 3.828 3.828
3.828 0.000 3.828
3.828 3.828 0.000
Ba Ca Ag
1 1 2
direct
0.000 0.000 0.000
0.750 0.750 0.750
0.250 0.250 0.250
0.500 0.500 0.500
```

**Space group**: F-43m, No. 216
**Calculated volume**: 112.2 Å³ per cell
**Polymorph energy (0 for the lowest one)**: 281.2 meV/atom
**Total energy**: -2.394 eV/atom
**Formation energy from the elements**: 0.0123 eV/atom



[7]
The following is a PBE-GGA calculation of a relaxed AcSm2TmP4 crystal, from Alexandria.

POSCAR file:
```
AcSm2TmP4
1.0
7.205 0.000 0.000
0.000 4.162 0.000
-2.388 0.000 6.803
Ac Sm Tm P
1 2 1 4
direct
0.000 0.000 0.000
0.000 0.500 0.500
0.500 0.000 0.500
0.500 0.500 0.000
0.262 0.000 0.751
0.265 0.500 0.259
0.735 0.500 0.741
0.738 0.000 0.249
```

**Space group**: P2/m, No. 10
**Calculated volume**: 204.0 Å³ per cell
**Total energy**: -6.450 eV/atom
**Formation energy from the elements**: -1.4931 eV/atom



[8]
The following is a PBE-GGA calculation of a relaxed SbMo3Pd crystal, from Alexandria.

POSCAR file:
```
SbMo3Pd
1.0
4.777 0.000 0.000
0.000 4.777 0.000
0.000 0.000 4.777
Sb Mo Pd
1 3 1
direct
0.000 0.000 0.000
0.000 0.500 0.500
0.500 0.000 0.500
0.500 0.500 0.000
0.500 0.500 0.500
```

**Raw formation energy**: 1.736 eV/atom
**Space group**: Pm-3m, No. 221
**Calculated volume**: 109.0 Å³ per cell
**Polymorph energy (0 for the lowest one)**: 0.0 meV/atom
**Total energy**: -6.626 eV/atom



[9]
The following is a PBE-GGA calculation of a relaxed Sm3Te2H crystal, from Alexandria.

POSCAR file:
```
Sm3Te2H
1.0
7.129 -4.167 0.000
7.129 4.167 0.000
0.000 0.000 6.167
Sm Te H
6 4 2
direct
0.094 0.906 0.500
0.129 0.592 0.007
0.408 0.871 0.007
0.592 0.129 0.507
0.871 0.408 0.507
0.906 0.094 0.000
0.198 0.490 0.505
0.490 0.198 0.005
0.510 0.802 0.505
0.802 0.510 0.005
0.166 0.834 0.868
0.834 0.166 0.368
```

**Space group**: Cmc2_1, No. 36
**Calculated volume**: 366.4 Å³ per cell
**Total energy**: -4.818 eV/atom



[10]
The following is a PBE-GGA calculation of a relaxed SiBr3 crystal, from Alexandria.

POSCAR file:
```
SiBr3
1.0
2.534 -7.099 0.000
2.534 7.099 0.000
0.000 0.000 3.671
Si Br
1 3
direct
0.000 0.000 0.000
0.127 0.873 0.500
0.500 0.500 0.000
0.873 0.127 0.500
```

**Raw formation energy**: -0.353 eV/atom
**Space group**: Cmmm, No. 65
**Calculated volume**: 132.1 Å³ per cell
**Polymorph energy (0 for the lowest one)**: 401.1 meV/atom
**Total energy**: -2.964 eV/atom



[11]
The following is a PBE-GGA calculation of a relaxed ScCo2Sn2 crystal, from Alexandria.

POSCAR file:
```
ScCo2Sn2
1.0
4.783 -4.216 0.000
4.783 4.216 0.000
-2.223 0.000 4.574
Sc Co Sn
2 4 4
direct
0.131 0.869 0.750
0.869 0.131 0.250
0.215 0.785 0.250
0.447 0.553 0.750
0.553 0.447 0.250
0.785 0.215 0.750
0.167 0.385 0.862
0.385 0.167 0.362
0.615 0.833 0.638
0.833 0.615 0.138
```

**Space group**: C2/c, No. 15
**Calculated volume**: 184.5 Å³ per cell
**Polymorph energy (0 for the lowest one)**: 183.5 meV/atom
**Total energy**: -5.841 eV/atom
**Formation energy from the elements**: -0.1315 eV/atom



[12]
The following is a PBE-GGA calculation of a relaxed Er3BeSi6Ni2 crystal, from Alexandria.

POSCAR file:
```
Er3BeSi6Ni2
1.0
5.222 0.000 0.000
-2.611 4.523 0.000
0.000 0.000 8.859
Er Be Si Ni
3 1 6 2
direct
0.000 0.000 0.000
0.333 0.667 0.578
0.667 0.333 0.422
0.000 0.000 0.500
0.164 0.329 0.283
0.164 0.836 0.283
0.329 0.164 0.717
0.671 0.836 0.283
0.836 0.164 0.717
0.836 0.671 0.717
0.333 0.667 0.088
0.667 0.333 0.912
```

**Raw formation energy**: -0.284 eV/atom
**Space group**: P-3m1, No. 164
**Calculated volume**: 209.2 Å³ per cell
**Total energy**: -5.411 eV/atom